1.
Below is crystalline LiSn2AsSe4 at its relaxed geometry, with properties calculated at the PBE level.

Magnetic moment = 0.00 μB/cell
Space-group type = Imma (74)
Raw total energy = -4.011 eV/atom
Formation energy (no corrections) = -0.448 eV per atom

a = 8.126 Å, b = 8.126 Å, c = 8.126 Å
α = 119.85°, β = 119.40°, γ = 90.65°
Fractional positions:
Li1 0.000 0.000 0.000
Li2 0.500 0.000 0.500
Sn1 0.000 0.500 0.500
Sn2 0.500 0.000 0.000
Sn3 0.500 0.500 0.000
Sn4 0.500 0.500 0.500
As1 0.000 0.000 0.500
As2 0.000 0.500 0.000
Se1 0.223 0.240 0.983
Se2 0.241 0.227 0.485
Se3 0.241 0.756 0.015
Se4 0.244 0.760 0.483
Se5 0.756 0.240 0.517
Se6 0.759 0.244 0.985
Se7 0.759 0.773 0.515
Se8 0.777 0.760 0.017

---

2.
Below is crystalline YCrAu at its relaxed geometry, with properties calculated at the PBE level.

Energy above the most stable polymorph in this dataset = 0 meV/atom
Calculated formation energy = -0.11 eV per atom
Magnetic moment = 3.51 μB/cell
Space-group type = P-6m2 (187)
Raw total energy = -6.562 eV/atom

a = 4.603 Å, b = 4.603 Å, c = 3.561 Å
α = 90.00°, β = 90.00°, γ = 120.00°
Fractional positions:
Y1 0.000 0.000 0.000
Cr1 0.667 0.333 0.500
Au1 0.333 0.667 0.500

---

3.
Below is crystalline HfPtI2O at its relaxed geometry, with properties calculated at the PBE level.

Energy above the most stable polymorph in this dataset = 0 meV/atom
Magnetic moment = 0.00 μB/cell
Space-group type = P4/mmm (123)
Raw total energy = -5.345 eV/atom
Formation energy (no corrections) = -0.534 eV per atom

a = 5.713 Å, b = 5.713 Å, c = 3.906 Å
α = 90.00°, β = 90.00°, γ = 90.00°
Fractional positions:
Hf1 0.000 0.000 0.000
Pt1 0.500 0.500 0.500
I1 0.000 0.500 0.000
I2 0.500 0.000 0.000
O1 0.000 0.000 0.500

---

4.
Below is crystalline Tb4ErSc7 at its relaxed geometry, with properties calculated at the PBE level.

Calculated formation energy = 0.28 eV per atom
Magnetic moment = 0.55 μB/cell
Space-group type = C2/m (12)
Raw total energy = -5.341 eV/atom

a = 6.307 Å, b = 6.307 Å, c = 11.983 Å
α = 112.03°, β = 112.03°, γ = 52.04°
Fractional positions:
Tb1 0.096 0.096 0.295
Tb2 0.372 0.372 0.226
Tb3 0.628 0.628 0.774
Tb4 0.904 0.904 0.705
Er1 0.500 0.500 0.000
Sc1 0.000 0.000 0.000
Sc2 0.151 0.151 0.619
Sc3 0.207 0.207 0.915
Sc4 0.370 0.370 0.515
Sc5 0.630 0.630 0.485
Sc6 0.793 0.793 0.085
Sc7 0.849 0.849 0.381